(1)
# Tm6NiPt5

A relaxed structure of Tm6NiPt5 (PBE-GGA, Alexandria via LeMat-Bulk).

Structure (CIF):
```
data_Tm6NiPt5
_chemical_formula_sum 'Tm6 Ni1 Pt5'
_symmetry_space_group_name_H-M 'P 1'
_symmetry_Int_Tables_number 1
_cell_length_a 4.856
_cell_length_b 8.416
_cell_length_c 8.416
_cell_angle_alpha 120.04
_cell_angle_beta 106.80
_cell_angle_gamma 106.80
loop_
_symmetry_equiv_pos_as_xyz
'x,y,z'
loop_
_atom_site_label
_atom_site_type_symbol
_atom_site_fract_x
_atom_site_fract_y
_atom_site_fract_z
_atom_site_occupancy
Ni1 Ni 0.000 0.000 0.000 1
Tm1 Tm 0.249 0.084 0.414 1
Tm2 Tm 0.751 0.586 0.916 1
Tm3 Tm 0.748 0.249 0.249 1
Tm4 Tm 0.252 0.751 0.751 1
Tm5 Tm 0.249 0.414 0.084 1
Tm6 Tm 0.751 0.916 0.586 1
Pt1 Pt 0.500 0.163 0.837 1
Pt2 Pt 0.000 0.331 0.669 1
Pt3 Pt 0.500 0.500 0.500 1
Pt4 Pt 0.000 0.669 0.331 1
Pt5 Pt 0.500 0.837 0.163 1
```

## Properties
**Fermi-level density of states**: 6.83 states/eV/cell
**ΔE_f**: -1.152 eV per atom



(2)
# Tm3Ni8Pt

A relaxed structure of Tm3Ni8Pt (PBE-GGA, Alexandria via LeMat-Bulk).

Structure (CIF):
```
data_Tm3Ni8Pt
_chemical_formula_sum 'Tm3 Ni8 Pt1'
_symmetry_space_group_name_H-M 'P 1'
_symmetry_Int_Tables_number 1
_cell_length_a 4.949
_cell_length_b 4.949
_cell_length_c 8.586
_cell_angle_alpha 73.25
_cell_angle_beta 73.25
_cell_angle_gamma 60.00
loop_
_symmetry_equiv_pos_as_xyz
'x,y,z'
loop_
_atom_site_label
_atom_site_type_symbol
_atom_site_fract_x
_atom_site_fract_y
_atom_site_fract_z
_atom_site_occupancy
Tm1 Tm 0.377 0.377 0.869 1
Tm2 Tm 0.989 0.989 0.032 1
Tm3 Tm 0.508 0.508 0.476 1
Ni1 Ni 0.942 0.436 0.185 1
Ni2 Ni 0.440 0.938 0.685 1
Ni3 Ni 0.436 0.436 0.185 1
Ni4 Ni 0.938 0.938 0.685 1
Ni5 Ni 0.188 0.188 0.437 1
Ni6 Ni 0.688 0.688 0.936 1
Ni7 Ni 0.436 0.942 0.185 1
Ni8 Ni 0.938 0.440 0.685 1
Pt1 Pt 0.870 0.870 0.389 1
```

## Properties
**Fermi-level density of states**: 15.07 states/eV/cell
**ΔE_f**: -0.497 eV per atom



(3)
# Tm8NiPt2

A relaxed structure of Tm8NiPt2 (PBE-GGA, Alexandria via LeMat-Bulk).

Structure (CIF):
```
data_Tm8NiPt2
_chemical_formula_sum 'Tm8 Ni1 Pt2'
_symmetry_space_group_name_H-M 'P 1'
_symmetry_Int_Tables_number 1
_cell_length_a 4.917
_cell_length_b 6.675
_cell_length_c 8.875
_cell_angle_alpha 104.98
_cell_angle_beta 106.08
_cell_angle_gamma 90.00
loop_
_symmetry_equiv_pos_as_xyz
'x,y,z'
loop_
_atom_site_label
_atom_site_type_symbol
_atom_site_fract_x
_atom_site_fract_y
_atom_site_fract_z
_atom_site_occupancy
Tm1 Tm 0.408 0.552 0.816 1
Tm2 Tm 0.663 0.969 0.327 1
Tm3 Tm 0.795 0.684 0.590 1
Tm4 Tm 0.969 0.213 0.938 1
Tm5 Tm 0.205 0.316 0.410 1
Tm6 Tm 0.337 0.031 0.673 1
Tm7 Tm 0.592 0.448 0.184 1
Tm8 Tm 0.031 0.787 0.062 1
Ni1 Ni 0.500 0.000 0.000 1
Pt1 Pt 0.811 0.280 0.623 1
Pt2 Pt 0.189 0.720 0.377 1
```

## Properties
**Offset from the most stable computed form**: 0.000 eV/atom
**Fermi-level density of states**: 12.86 states/eV/cell
**ΔE_f**: -0.579 eV per atom



(4)
# TmNiPt

A relaxed structure of TmNiPt (PBE-GGA, Alexandria via LeMat-Bulk).

Structure (CIF):
```
data_TmNiPt
_chemical_formula_sum 'Tm1 Ni1 Pt1'
_symmetry_space_group_name_H-M 'P 1'
_symmetry_Int_Tables_number 1
_cell_length_a 3.430
_cell_length_b 3.430
_cell_length_c 5.046
_cell_angle_alpha 109.87
_cell_angle_beta 109.87
_cell_angle_gamma 90.00
loop_
_symmetry_equiv_pos_as_xyz
'x,y,z'
loop_
_atom_site_label
_atom_site_type_symbol
_atom_site_fract_x
_atom_site_fract_y
_atom_site_fract_z
_atom_site_occupancy
Ni1 Ni 0.291 0.291 0.583 1
Tm1 Tm 0.617 0.617 0.233 1
Pt1 Pt 0.942 0.942 0.884 1
```

## Properties
**Fermi-level density of states**: 3.14 states/eV/cell
**ΔE_f**: -0.623 eV per atom



(5)
# Tm4Ni2Pt

A relaxed structure of Tm4Ni2Pt (PBE-GGA, Alexandria via LeMat-Bulk).

Structure (CIF):
```
data_Tm4Ni2Pt
_chemical_formula_sum 'Tm8 Ni4 Pt2'
_symmetry_space_group_name_H-M 'P 1'
_symmetry_Int_Tables_number 1
_cell_length_a 7.221
_cell_length_b 7.500
_cell_length_c 7.217
_cell_angle_alpha 110.65
_cell_angle_beta 107.01
_cell_angle_gamma 109.15
loop_
_symmetry_equiv_pos_as_xyz
'x,y,z'
loop_
_atom_site_label
_atom_site_type_symbol
_atom_site_fract_x
_atom_site_fract_y
_atom_site_fract_z
_atom_site_occupancy
Tm1 Tm 0.891 0.241 0.278 1
Tm2 Tm 0.287 0.509 0.150 1
Tm3 Tm 0.025 0.628 0.772 1
Tm4 Tm 0.789 0.077 0.631 1
Tm5 Tm 0.320 0.084 0.363 1
Tm6 Tm 0.394 0.122 0.897 1
Tm7 Tm 0.529 0.666 0.736 1
Tm8 Tm 0.805 0.674 0.213 1
Ni1 Ni 0.656 0.375 0.781 1
Ni2 Ni 0.515 0.875 0.140 1
Ni3 Ni 0.623 0.428 0.385 1
Ni4 Ni 0.206 0.321 0.694 1
Pt1 Pt 0.208 0.736 0.488 1
Pt2 Pt 0.003 0.014 0.972 1
```

## Properties
**Offset from the most stable computed form**: 0.000 eV/atom
**Fermi-level density of states**: 8.57 states/eV/cell
**ΔE_f**: -0.623 eV per atom



(6)
# Tm4NiPt3

A relaxed structure of Tm4NiPt3 (PBE-GGA, Alexandria via LeMat-Bulk).

Structure (CIF):
```
data_Tm4NiPt3
_chemical_formula_sum 'Tm4 Ni1 Pt3'
_symmetry_space_group_name_H-M 'P 1'
_symmetry_Int_Tables_number 1
_cell_length_a 3.693
_cell_length_b 4.395
_cell_length_c 10.351
_cell_angle_alpha 90.00
_cell_angle_beta 90.00
_cell_angle_gamma 90.00
loop_
_symmetry_equiv_pos_as_xyz
'x,y,z'
loop_
_atom_site_label
_atom_site_type_symbol
_atom_site_fract_x
_atom_site_fract_y
_atom_site_fract_z
_atom_site_occupancy
Ni1 Ni 0.500 0.500 0.079 1
Tm1 Tm 0.500 0.500 0.357 1
Tm2 Tm 0.000 0.500 0.865 1
Tm3 Tm 0.000 0.000 0.137 1
Tm4 Tm 0.500 0.000 0.641 1
Pt1 Pt 0.000 0.500 0.590 1
Pt2 Pt 0.000 0.000 0.409 1
Pt3 Pt 0.500 0.000 0.922 1
```

## Properties
**Fermi-level density of states**: 6.30 states/eV/cell
**ΔE_f**: -1.117 eV per atom



(7)
# Tm4Ni2Pt

A relaxed structure of Tm4Ni2Pt (PBE-GGA, Alexandria via LeMat-Bulk).

Structure (CIF):
```
data_Tm4Ni2Pt
_chemical_formula_sum 'Tm4 Ni2 Pt1'
_symmetry_space_group_name_H-M 'P 1'
_symmetry_Int_Tables_number 1
_cell_length_a 4.744
_cell_length_b 4.744
_cell_length_c 8.185
_cell_angle_alpha 73.15
_cell_angle_beta 73.15
_cell_angle_gamma 60.00
loop_
_symmetry_equiv_pos_as_xyz
'x,y,z'
loop_
_atom_site_label
_atom_site_type_symbol
_atom_site_fract_x
_atom_site_fract_y
_atom_site_fract_z
_atom_site_occupancy
Tm1 Tm 0.873 0.873 0.380 1
Tm2 Tm 0.127 0.127 0.620 1
Tm3 Tm 0.622 0.622 0.133 1
Tm4 Tm 0.378 0.378 0.867 1
Ni1 Ni 0.750 0.750 0.750 1
Ni2 Ni 0.250 0.250 0.250 1
Pt1 Pt 0.000 0.000 0.000 1
```

## Properties
**Offset from the most stable computed form**: 0.017 eV/atom
**Fermi-level density of states**: 4.80 states/eV/cell
**ΔE_f**: -0.605 eV per atom



(8)
# TmNiPt

A relaxed structure of TmNiPt (PBE-GGA, Alexandria via LeMat-Bulk).

Structure (CIF):
```
data_TmNiPt
_chemical_formula_sum 'Tm2 Ni2 Pt2'
_symmetry_space_group_name_H-M 'P 1'
_symmetry_Int_Tables_number 1
_cell_length_a 4.397
_cell_length_b 5.240
_cell_length_c 9.738
_cell_angle_alpha 139.31
_cell_angle_beta 90.00
_cell_angle_gamma 114.81
loop_
_symmetry_equiv_pos_as_xyz
'x,y,z'
loop_
_atom_site_label
_atom_site_type_symbol
_atom_site_fract_x
_atom_site_fract_y
_atom_site_fract_z
_atom_site_occupancy
Ni1 Ni 0.583 0.166 0.680 1
Ni2 Ni 0.417 0.834 0.320 1
Pt1 Pt 0.152 0.305 0.857 1
Pt2 Pt 0.848 0.695 0.143 1
Tm1 Tm 0.702 0.403 0.314 1
Tm2 Tm 0.298 0.597 0.686 1
```

## Properties
**Fermi-level density of states**: 3.39 states/eV/cell
**ΔE_f**: -0.778 eV per atom